Computed, not measured: a relaxed K2MoAs2O6 crystal at the PBE with a Hubbard U level of DFT.

```
K2MoAs2O6
1.0
-3.687 3.939 -2.172
-0.769 -5.220 -0.374
-2.063 1.661 6.512
K Mo As O
2 1 2 6
Cartesian
-3.152 0.883 -0.837
-3.367 -0.502 4.803
-2.875 2.800 2.170
-5.496 0.596 2.622
-1.022 -0.216 1.344
-4.162 1.314 1.661
-2.120 -3.654 0.965
-2.508 2.014 4.115
-4.398 4.034 3.002
-4.011 -1.634 -0.149
-2.356 -0.934 2.305
```

Summary:
VASP energy: -5.910 eV per atom
Crystal system: monoclinic
Magnetization: 2.0 μB per cell